Entry 1:
Compound: NpUS4
Source: the Alexandria database
Functional: PBE
Structure: relaxed

symmetry: No. 123
raw formation energy: -131.10 kJ per mole of atoms
excess energy over the best structure of this formula in the dataset: 0 meV per atom

Cell: 4.547 4.547 6.435 Å, 90.00 90.00 90.00°
Fractional positions:
Np  0.000  0.000  0.000
U  0.500  0.500  0.500
S  0.000  0.500  0.253
S  0.000  0.500  0.747
S  0.500  0.000  0.253
S  0.500  0.000  0.747

Entry 2:
Compound: PaGa2Au
Source: the Alexandria database
Functional: PBE
Structure: relaxed

symmetry: No. 123
calculated total energy: -19.99 eV/cell

Cell: 4.369 4.369 4.283 Å, 90.00 90.00 90.00°
Fractional positions:
Pa  0.000  0.000  0.000
Ga  0.000  0.500  0.500
Ga  0.500  0.000  0.500
Au  0.500  0.500  0.000

Please write out number 2 again, unchanged.
Compound: PaGa2Au
Source: the Alexandria database
Functional: PBE
Structure: relaxed

symmetry: No. 123
calculated total energy: -19.99 eV/cell

Cell: 4.369 4.369 4.283 Å, 90.00 90.00 90.00°
Fractional positions:
Pa  0.000  0.000  0.000
Ga  0.000  0.500  0.500
Ga  0.500  0.000  0.500
Au  0.500  0.500  0.000